A geometry-optimized BaNaO2F structure, computed with PBE-GGA.

Values from the calculation:
The calculation puts the raw total energy at -4.68 eV/atom. The space group is P4/mmm (123). The value obtained for the formation energy (no corrections) is -1.678 eV/atom.

abc: 4.2965 4.2965 4.3788
angles: 90.00 90.00 90.00
Closest atoms and distances in Å follow each position.
Atoms (fractional coordinates):
Ba  0.5000  0.5000  0.5000  4 F 3.04, 8 O 3.07
O  0.0000  0.5000  0.0000  2 Na 2.15
O  0.5000  0.0000  0.0000  2 Na 2.15
F  0.0000  0.0000  0.5000  2 Na 2.19
Na  0.0000  0.0000  0.0000  4 O 2.15, 2 F 2.19